No. 1
The following is a PBE calculation of MgIn3Br after structural relaxation, from Alexandria.

* electronic total energy: -2.20 eV per atom
* E above lowest polymorph: 0 kJ/mol of formula units
* raw formation energy: 0.10 eV per atom

Cell and atoms, written as CIF:
```
data_MgIn3Br
_cell_length_a 5.5701
_cell_length_b 5.5701
_cell_length_c 5.5701
_cell_angle_alpha 90.00
_cell_angle_beta 90.00
_cell_angle_gamma 90.00
_symmetry_space_group_name_H-M 'P m -3 m'
_symmetry_Int_Tables_number 221
_symmetry_space_group_name_Hall '-P 4 2 3'
loop_
_atom_site_label
_atom_site_fract_x
_atom_site_fract_y
_atom_site_fract_z
Mg1 0.0000 0.0000 0.0000
In1 0.0000 0.0000 0.5000
Br1 0.5000 0.5000 0.5000
```


No. 2
The following is a PBE calculation of SnBi after structural relaxation, from Alexandria.

* formation enthalpy at 0 K: 0.26 eV/f.u.
* electronic total energy: -3.81 eV per atom

Cell and atoms, written as CIF:
```
data_SnBi
_cell_length_a 8.8930
_cell_length_b 8.8930
_cell_length_c 5.7472
_cell_angle_alpha 90.00
_cell_angle_beta 90.00
_cell_angle_gamma 120.00
_symmetry_space_group_name_H-M 'P 63/m'
_symmetry_Int_Tables_number 176
_symmetry_space_group_name_Hall '-P 6c'
loop_
_atom_site_label
_atom_site_fract_x
_atom_site_fract_y
_atom_site_fract_z
Sn1 0.1052 0.6348 0.2500
Bi1 0.0736 0.7789 0.7500
```


No. 3
The following is a PBE calculation of LaYV2B after structural relaxation, from Alexandria.

* formation enthalpy at 0 K: 10.59 eV/f.u.
* electronic total energy: -5.14 eV per atom

Cell and atoms, written as CIF:
```
data_LaYV2B
_cell_length_a 4.4788
_cell_length_b 4.4788
_cell_length_c 5.5697
_cell_angle_alpha 90.00
_cell_angle_beta 90.00
_cell_angle_gamma 90.00
_symmetry_space_group_name_H-M 'P 4/m m m'
_symmetry_Int_Tables_number 123
_symmetry_space_group_name_Hall '-P 4 2'
loop_
_atom_site_label
_atom_site_fract_x
_atom_site_fract_y
_atom_site_fract_z
La1 0.0000 0.0000 0.0000
Y1 0.0000 0.0000 0.5000
V1 0.0000 0.5000 0.0000
B1 0.5000 0.5000 0.5000
```


No. 4
The following is a PBE calculation of LiHoInSn after structural relaxation, from Alexandria.

* formation enthalpy at 0 K: -1.56 eV/f.u.
* electronic total energy: -3.70 eV per atom
* E above lowest polymorph: 40 kJ/mol of formula units

Cell and atoms, written as CIF:
```
data_LiHoInSn
_cell_length_a 7.2764
_cell_length_b 7.2764
_cell_length_c 7.2764
_cell_angle_alpha 90.00
_cell_angle_beta 90.00
_cell_angle_gamma 90.00
_symmetry_space_group_name_H-M 'F -4 3 m'
_symmetry_Int_Tables_number 216
_symmetry_space_group_name_Hall 'F -4 2 3'
loop_
_atom_site_label
_atom_site_fract_x
_atom_site_fract_y
_atom_site_fract_z
Li1 0.0000 0.0000 0.0000
Ho1 0.0000 0.0000 0.5000
In1 0.2500 0.2500 0.7500
Sn1 0.2500 0.2500 0.2500
```


No. 5
The following is a PBE calculation of LiMg2Al2 after structural relaxation, from Alexandria.

* formation enthalpy at 0 K: 0.35 eV/f.u.
* electronic total energy: -2.45 eV per atom
* E above lowest polymorph: 30 kJ/mol of formula units

Cell and atoms, written as CIF:
```
data_LiMg2Al2
_cell_length_a 8.4475
_cell_length_b 8.4475
_cell_length_c 2.9474
_cell_angle_alpha 90.00
_cell_angle_beta 90.00
_cell_angle_gamma 90.00
_symmetry_space_group_name_H-M 'P 4/m b m'
_symmetry_Int_Tables_number 127
_symmetry_space_group_name_Hall '-P 4 2ab'
loop_
_atom_site_label
_atom_site_fract_x
_atom_site_fract_y
_atom_site_fract_z
Li1 0.0000 0.0000 0.0000
Mg1 0.1286 0.3714 0.0000
Al1 0.1686 0.6686 0.5000
```


No. 6
The following is a PBE calculation of RbVSb after structural relaxation, from Alexandria.

* electronic total energy: -4.80 eV per atom
* E above lowest polymorph: 0 kJ/mol of formula units
* raw formation energy: -0.06 eV per atom

Cell and atoms, written as CIF:
```
data_RbVSb
_cell_length_a 4.2858
_cell_length_b 4.2864
_cell_length_c 13.2484
_cell_angle_alpha 98.33
_cell_angle_beta 90.50
_cell_angle_gamma 119.99
_symmetry_space_group_name_H-M 'P 1'
_symmetry_Int_Tables_number 1
loop_
_symmetry_equiv_pos_as_xyz
'x,y,z'
loop_
_atom_site_label
_atom_site_fract_x
_atom_site_fract_y
_atom_site_fract_z
Rb1 0.0000 0.0000 0.0000
Rb2 0.2154 0.3959 0.6443
V1 0.1079 0.1981 0.3223
V2 0.4412 0.8647 0.3223
Sb1 0.7340 0.4570 0.2010
Sb2 0.8151 0.6059 0.4435
```


No. 7
The following is a PBE calculation of AlIr2OsI after structural relaxation, from Alexandria.

* electronic total energy: -5.60 eV per atom
* raw formation energy: 1.25 eV per atom

Cell and atoms, written as CIF:
```
data_AlIr2OsI
_cell_length_a 4.8140
_cell_length_b 4.8140
_cell_length_c 4.8449
_cell_angle_alpha 90.00
_cell_angle_beta 90.00
_cell_angle_gamma 90.00
_symmetry_space_group_name_H-M 'P 4/m m m'
_symmetry_Int_Tables_number 123
_symmetry_space_group_name_Hall '-P 4 2'
loop_
_atom_site_label
_atom_site_fract_x
_atom_site_fract_y
_atom_site_fract_z
Al1 0.0000 0.0000 0.0000
Ir1 0.0000 0.5000 0.5000
Os1 0.0000 0.0000 0.5000
I1 0.5000 0.5000 0.0000
```


No. 8
The following is a PBE calculation of LiZnH8Ir2 after structural relaxation, from Alexandria.

* electronic total energy: -3.96 eV per atom

Cell and atoms, written as CIF:
```
data_LiZnH8Ir2
_cell_length_a 4.4826
_cell_length_b 4.4826
_cell_length_c 17.0775
_cell_angle_alpha 90.00
_cell_angle_beta 90.00
_cell_angle_gamma 120.00
_symmetry_space_group_name_H-M 'R -3'
_symmetry_Int_Tables_number 148
_symmetry_space_group_name_Hall '-R 3'
loop_
_atom_site_label
_atom_site_fract_x
_atom_site_fract_y
_atom_site_fract_z
Li1 0.0000 0.0000 0.0000
Zn1 0.0000 0.0000 0.5000
H1 0.0000 0.0000 0.3092
H2 0.0074 0.6918 0.4166
Ir1 0.0000 0.0000 0.2166
```


No. 9
The following is a PBE calculation of Cs2Cd2O3 after structural relaxation, from Alexandria.

* electronic total energy: -3.69 eV per atom
* raw formation energy: -1.06 eV per atom

Cell and atoms, written as CIF:
```
data_Cs2Cd2O3
_cell_length_a 13.3648
_cell_length_b 3.9597
_cell_length_c 7.1632
_cell_angle_alpha 90.00
_cell_angle_beta 121.44
_cell_angle_gamma 90.00
_symmetry_space_group_name_H-M 'C 1 2/m 1'
_symmetry_Int_Tables_number 12
loop_
_symmetry_equiv_pos_as_xyz
'x,y,z'
'-x,-y,-z'
'-x,y,-z'
'x,-y,z'
'x+1/2,y+1/2,z'
'-x+1/2,-y+1/2,-z'
'-x+1/2,y+1/2,-z'
'x+1/2,-y+1/2,z'
loop_
_atom_site_label
_atom_site_fract_x
_atom_site_fract_y
_atom_site_fract_z
Cs1 0.0906 0.0000 0.3634
Cd1 0.1741 0.5000 0.0423
O1 0.0000 0.5000 0.0000
O2 0.2313 0.5000 0.7940
```


No. 10
The following is a PBE calculation of TaTe2AsN after structural relaxation, from Alexandria.

* electronic total energy: -5.07 eV per atom
* E above lowest polymorph: 410 kJ/mol of formula units
* raw formation energy: 1.15 eV per atom

Cell and atoms, written as CIF:
```
data_TaTe2AsN
_cell_length_a 5.4724
_cell_length_b 5.4724
_cell_length_c 3.5709
_cell_angle_alpha 90.00
_cell_angle_beta 90.00
_cell_angle_gamma 90.00
_symmetry_space_group_name_H-M 'P 4/m m m'
_symmetry_Int_Tables_number 123
_symmetry_space_group_name_Hall '-P 4 2'
loop_
_atom_site_label
_atom_site_fract_x
_atom_site_fract_y
_atom_site_fract_z
Ta1 0.0000 0.0000 0.0000
Te1 0.0000 0.5000 0.5000
As1 0.5000 0.5000 0.5000
N1 0.5000 0.5000 0.0000
```


No. 11
The following is a PBE calculation of Fe2CoIrC after structural relaxation, from Alexandria.

* formation enthalpy at 0 K: 7.91 eV/f.u.
* electronic total energy: -6.84 eV per atom

Cell and atoms, written as CIF:
```
data_Fe2CoIrC
_cell_length_a 4.3224
_cell_length_b 4.3224
_cell_length_c 3.4199
_cell_angle_alpha 90.00
_cell_angle_beta 90.00
_cell_angle_gamma 90.00
_symmetry_space_group_name_H-M 'P 4/m m m'
_symmetry_Int_Tables_number 123
_symmetry_space_group_name_Hall '-P 4 2'
loop_
_atom_site_label
_atom_site_fract_x
_atom_site_fract_y
_atom_site_fract_z
Fe1 0.0000 0.5000 0.0000
Co1 0.0000 0.0000 0.0000
Ir1 0.5000 0.5000 0.5000
C1 0.0000 0.0000 0.5000
```